A relaxed CaAc2PmSm crystal. Source: Alexandria via LeMat-Bulk, functional GGA-PBE.

Cell lengths 9.396, 6.708, 6.561 Å; angles 90.00, 90.14, 90.00 degrees
Fractional coordinates of all 10 atoms:
Ca 0.000 0.214 0.250
Ca 0.000 0.786 0.750
Ac 0.204 0.278 0.751
Ac 0.204 0.722 0.251
Ac 0.796 0.278 0.749
Ac 0.796 0.722 0.249
Pm 0.500 0.000 0.000
Pm 0.500 0.000 0.500
Sm 0.500 0.425 0.250
Sm 0.500 0.575 0.750

Results
Fermi-level density of states	5.841	states/eV/f.u.
calculated formation energy	22.8	kJ per mole of atoms

***

A relaxed CaAcPmSm crystal. Source: Alexandria via LeMat-Bulk, functional GGA-PBE.

Cell lengths 3.797, 3.797, 10.701 Å; angles 90.00, 90.00, 90.00 degrees
Fractional coordinates of all 4 atoms:
Ca 0.000 0.000 0.000
Ac 0.500 0.500 0.722
Pm 0.000 0.000 0.472
Sm 0.500 0.500 0.251

Results
offset from the most stable computed form	0	meV/atom
Fermi-level density of states	5.527	states/eV/f.u.
calculated formation energy	4.6	kJ per mole of atoms

***

no.,magnetic moment (μB per atom),theoretical density (g/cm³),calculated total energy (eV per formula unit)
1,0.0000,6.3,-18.51
2,0.0000,6.1,-15.39